1.
Compound: Ni2IrRu
Source: Alexandria via LeMat-Bulk
Functional: GGA-PBE
Structure: optimized geometry

Values from the calculation:
Total magnetic moment, μB/f.u.: 1.122
Total DFT energy (no corrections), eV per atom: -7.30

a = 2.6556 Å, b = 2.6556 Å, c = 25.2247 Å
α = 90.00°, β = 90.00°, γ = 120.00°
Space group R-3m (No. 166, hexagonal axes)
Unique sites:
Ni 0.0000 0.0000 0.2491 [6 per cell]
Ir 0.0000 0.0000 0.0000 [3 per cell]
Ru 0.0000 0.0000 0.5000 [3 per cell]



2.
Compound: NiIrRu3
Source: Alexandria via LeMat-Bulk
Functional: GGA-PBE
Structure: optimized geometry

Values from the calculation:
Total magnetic moment, μB/f.u.: 1.493
Total DFT energy (no corrections), eV per atom: -6.86

a = 4.340 Å, b = 4.340 Å, c = 4.340 Å
α = 90.00°, β = 90.00°, γ = 90.00°
Space group Pm-3m (No. 221)
Unique sites:
Ni 0.000 0.000 0.000 [1 per cell]
Ir 0.500 0.500 0.500 [1 per cell]
Ru 0.000 0.000 0.500 [3 per cell]



3.
Compound: NiIrRu4
Source: Alexandria via LeMat-Bulk
Functional: GGA-PBE
Structure: optimized geometry

Values from the calculation:
Total magnetic moment, μB/f.u.: 0.000
Total DFT energy (no corrections), eV per atom: -8.61

a = 4.274 Å, b = 2.727 Å, c = 14.014 Å
α = 90.00°, β = 90.00°, γ = 90.00°
Space group Amm2 (No. 38)
Unique sites:
Ni 0.000 0.000 0.000 [2 per cell]
Ir 0.500 0.000 0.779 [2 per cell]
Ru 0.000 0.000 0.335 [2 per cell]
Ru 0.000 0.000 0.665 [2 per cell]
Ru 0.500 0.000 0.107 [2 per cell]
Ru 0.500 0.000 0.448 [2 per cell]



4.
Compound: NiIrRu3
Source: Alexandria via LeMat-Bulk
Functional: GGA-PBE
Structure: optimized geometry

Values from the calculation:
Total magnetic moment, μB/f.u.: 2.756
Total DFT energy (no corrections), eV per atom: -6.48

a = 4.666 Å, b = 4.666 Å, c = 4.666 Å
α = 90.00°, β = 90.00°, γ = 90.00°
Space group Pm-3m (No. 221)
Unique sites:
Ni 0.000 0.000 0.000 [1 per cell]
Ir 0.500 0.500 0.500 [1 per cell]
Ru 0.000 0.500 0.500 [3 per cell]



no.,energy relative to the elements (eV/atom)
1,0.127
2,1.639
3,0.016
4,2.012